No. 1
This record from Alexandria describes a relaxed BaCdNi3 crystal. The functional is GGA-PBEsol.

Results
Its crystal system is cubic. Its formation energy is 1687 meV per atom. For the calculated volume, the calculation gives 22.54 Å³ per atom.

abc: 4.831 4.831 4.831
angles: 90.00 90.00 90.00
Space group Pm-3m (No. 221)
Asymmetric unit:
Ba1 0.000 0.000 0.000 x1
Cd1 0.500 0.500 0.500 x1
Ni1 0.000 0.000 0.500 x3

***

No. 2
This record from Alexandria describes a relaxed Ba2CdNi2 crystal. The functional is GGA-PBEsol.

Results
Its crystal system is tetragonal. Its formation energy is 195 meV per atom. For the calculated volume, the calculation gives 25.24 Å³ per atom.

abc: 3.514 3.514 20.441
angles: 90.00 90.00 90.00
Space group I4/mmm (No. 139)
Asymmetric unit:
Ba1 0.000 0.000 0.129 x4
Cd1 0.000 0.000 0.500 x2
Ni1 0.000 0.500 0.250 x4

***

> Among the records above, which one has the lowest calculated volume?

BaCdNi3

***

> What is the calculated volume in the first record?

22.54 Å³ per atom

***

Copy entry 2 word for word.
This record from Alexandria describes a relaxed Ba2CdNi2 crystal. The functional is GGA-PBEsol.

Results
Its crystal system is tetragonal. Its formation energy is 195 meV per atom. For the calculated volume, the calculation gives 25.24 Å³ per atom.

abc: 3.514 3.514 20.441
angles: 90.00 90.00 90.00
Space group I4/mmm (No. 139)
Asymmetric unit:
Ba1 0.000 0.000 0.129 x4
Cd1 0.000 0.000 0.500 x2
Ni1 0.000 0.500 0.250 x4